# 1
Density functional theory data (PBE) for an optimized crystal structure of La4HgCl2.

- raw total energy (eV per atom) = -4.431
- total magnetization (μB/cell) = 0.75
- space group = Cmcm, No. 63
- uncorrected formation energy (meV per atom) = -1045.0

The structure in POSCAR format:
```
La4HgCl2
1.0
4.2253 0.0000 0.0000
-2.1126 6.8824 0.0000
0.0000 0.0000 14.4353
Cl La Hg
4 8 2
direct
0.8706 0.7412 0.9370
0.1294 0.2588 0.4370
0.1294 0.2588 0.0630
0.8706 0.7412 0.5630
0.7680 0.5360 0.1144
0.2320 0.4640 0.8856
0.5000 0.0000 0.5000
0.7680 0.5360 0.3856
0.9410 0.8819 0.7500
0.2320 0.4640 0.6144
0.5000 0.0000 0.0000
0.0590 0.1181 0.2500
0.6176 0.2351 0.7500
0.3824 0.7649 0.2500
```

# 2
Density functional theory data (PBE) for an optimized crystal structure of LaHgCl4.

- raw total energy (eV per atom) = -2.805
- total magnetization (μB/cell) = 0.63
- space group = F-43m, No. 216
- uncorrected formation energy (meV per atom) = -702.4

The structure in POSCAR format:
```
LaHgCl4
1.0
-5.3376 -2.0869 -1.4758
-4.1897 3.6998 -1.9444
-1.6595 -0.1307 -5.6791
Cl La Hg
4 1 1
direct
0.8759 0.3747 0.3747
0.3747 0.3747 0.8759
0.3747 0.8759 0.3747
0.3747 0.3747 0.3747
0.0000 0.0000 0.0000
0.7500 0.7500 0.7500
```